Entry 1:
LiTiTc2Ni after structural relaxation, computed with GGA-PBE.

Computed properties:
Its symmetry is P4/mmm, No. 123. Its formation energy from the elements is 487 kJ/mol of formula units. Its total magnetization is 0.0000 μB per atom.

a b c (Å): 4.0836 4.1374 4.0836
angles (deg): 90.00 90.00 90.00
Last column: nearest neighbours and their distance in Å.
Element x y z (fractional)
Ni 0.5000 0.5000 0.5000  4 Ti 2.89, 8 Tc 2.91
Tc 0.0000 0.0000 0.5000  2 Li 2.04
Ti 0.0000 0.5000 0.0000  2 Li 2.07
Tc 0.5000 0.0000 0.0000  2 Li 2.04
Li 0.0000 0.0000 0.0000  4 Tc 2.04, 2 Ti 2.07


Entry 2:
BiP after structural relaxation, computed with GGA-PBE.

Computed properties:
As for the energy above the most stable polymorph in this dataset: 38 meV per atom. Its symmetry is C2, No. 5. Its formation energy from the elements is 20 kJ/mol of formula units. Its total magnetization is 0.0000 μB per atom.

a b c (Å): 3.2727 11.0647 6.8594
angles (deg): 90.00 105.96 90.00
Last column: nearest neighbours and their distance in Å.
Element x y z (fractional)
P 0.1844 0.4209 0.8873  2 P 2.21
P 0.8156 0.9209 0.6127  2 P 2.21
Bi 0.9185 0.1658 0.7565  2 P 2.87-3.02
Bi 0.9185 0.6658 0.2565  2 P 2.87-3.02
Bi 0.0815 0.1658 0.2435  2 P 2.87-3.02
Bi 0.0815 0.6658 0.7435  2 P 2.87-3.02
P 0.8156 0.4209 0.1127  2 P 2.21
P 0.1844 0.9209 0.3873  2 P 2.21


Entry 3:
Rb2GaPb after structural relaxation, computed with GGA-PBE.

Computed properties:
As for the energy above the most stable polymorph in this dataset: 0 meV per atom. Its symmetry is C2, No. 5. Its formation energy from the elements is -21 kJ/mol of formula units. Its total magnetization is 0.0000 μB per atom.

a b c (Å): 4.7577 6.9286 6.9285
angles (deg): 61.29 69.86 69.86
Last column: nearest neighbours and their distance in Å.
Element x y z (fractional)
Pb 0.2500 0.1807 0.3193  2 Ga 2.77
Rb 0.4363 0.4833 0.6436  3 Ga 3.68-3.82, 1 Pb 4.01, 1 Rb 4.08
Rb 0.0637 0.8564 0.0167  3 Ga 3.68-3.82, 1 Pb 4.01, 1 Rb 4.08
Ga 0.7500 0.9796 0.5204  2 Pb 2.77


Entry 4:
Nb3Al2H after structural relaxation, computed with GGA-PBE.

Computed properties:
The total energy is -7.086 eV per atom. Its symmetry is C2/c, No. 15. Its total magnetization is 0.0000 μB per atom.

a b c (Å): 6.6348 5.2299 5.2299
angles (deg): 90.16 81.16 81.16
Last column: nearest neighbours and their distance in Å.
Element x y z (fractional)
Nb 0.7500 0.6430 0.3570  1 H 2.04
Nb 0.0221 0.1239 0.2354  1 H 2.05
Al 0.6491 0.1516 0.5843  1 Al 2.59, 7 Nb 2.67-2.85, 1 H 2.83
H 0.2500 0.0822 0.9178  3 Nb 2.04-2.05
Nb 0.9779 0.8761 0.7646  1 H 2.05
H 0.7500 0.9178 0.0822  3 Nb 2.04-2.05
Al 0.8509 0.4157 0.8484  1 Al 2.59, 7 Nb 2.67-2.85, 1 H 2.83
Nb 0.2500 0.3570 0.6430  1 H 2.04
Al 0.3509 0.8484 0.4157  1 Al 2.59, 7 Nb 2.67-2.85, 1 H 2.83
Nb 0.4779 0.7646 0.8761  1 H 2.05
Nb 0.5221 0.2354 0.1239  1 H 2.05
Al 0.1491 0.5843 0.1516  1 Al 2.59, 7 Nb 2.67-2.85, 1 H 2.83


Entry 5:
NaTiSe2 after structural relaxation, computed with GGA-PBE.

Computed properties:
Its symmetry is Fm-3m, No. 225. Its total magnetization is 0.2821 μB per atom. The raw formation energy is -0.69 eV per atom.

a b c (Å): 4.7752 4.7752 4.7752
angles (deg): 60.00 60.00 60.00
Last column: nearest neighbours and their distance in Å.
Element x y z (fractional)
Se 0.7500 0.7500 0.7500  4 Na 2.92, 4 Ti 2.92
Na 0.0000 0.0000 0.0000  8 Se 2.92
Ti 0.5000 0.5000 0.5000  8 Se 2.92
Se 0.2500 0.2500 0.2500  4 Na 2.92, 4 Ti 2.92


Entry 6:
Ho5TmMg after structural relaxation, computed with GGA-PBE.

Computed properties:
Its symmetry is Imm2, No. 44. Its formation energy from the elements is 607 kJ/mol of formula units. Its total magnetization is 0.0000 μB per atom.

a b c (Å): 6.0717 7.7867 7.5772
angles (deg): 120.92 113.62 90.00
Last column: nearest neighbours and their distance in Å.
Element x y z (fractional)
Mg 0.5703 0.5000 0.0000  5 Ho 2.84-3.00
Ho 0.0421 0.5000 0.0000  2 Mg 2.86-3.21, 2 Ho 3.01
Ho 0.4601 0.2496 0.4993  1 Mg 3.00, 2 Ho 3.30
Ho 0.3323 0.1861 0.0000  1 Mg 2.84, 2 Ho 2.90-3.01
Ho 0.3323 0.8139 0.0000  1 Mg 2.84, 2 Ho 2.90-3.01
Ho 0.9609 0.7504 0.5007  1 Mg 3.00, 2 Ho 3.30
Tm 0.8327 0.0000 0.0000  6 Ho 3.36-3.67